1.
Below is a relaxed structure of SrCuPd3Au, with properties calculated at the PBE-GGA level.

abc: 5.8758 5.7860 7.3900
angles: 113.05 90.00 90.00
Fractional coordinates of all 12 atoms:
1 Sr 0.7500 0.3080 0.6160
2 Sr 0.2500 0.6920 0.3840
3 Cu 0.2500 0.9001 0.8002
4 Cu 0.7500 0.0999 0.1998
5 Pd 0.2500 0.1390 0.2779
6 Pd 0.0000 0.2666 0.0000
7 Pd 0.5000 0.7334 0.0000
8 Pd 0.5000 0.2666 0.0000
9 Pd 0.0000 0.7334 0.0000
10 Pd 0.7500 0.8610 0.7221
11 Au 0.2500 0.3469 0.6939
12 Au 0.7500 0.6531 0.3061

The symmetry is Cmcm, No. 63. The value obtained for the formation energy is -0.225 eV/atom. The magnetization comes out at 0.0 μB per formula unit. The value obtained for the calculated volume is 231.2 Å³/cell.

---

2.
Below is a relaxed structure of Sr2CuPdAu6, with properties calculated at the PBE-GGA level.

abc: 7.1094 7.1094 7.1094
angles: 60.00 60.00 90.00
Fractional coordinates of all 10 atoms:
1 Sr 0.2500 0.7500 0.5000
2 Sr 0.7500 0.2500 0.5000
3 Cu 0.5000 0.5000 0.0000
4 Pd 0.0000 0.0000 0.0000
5 Au 0.2571 0.7429 0.0000
6 Au 0.7428 0.7428 0.0000
7 Au 0.2571 0.2571 0.4857
8 Au 0.7429 0.2571 0.0000
9 Au 0.2572 0.2572 0.0000
10 Au 0.7429 0.7429 0.5143

The symmetry is Fm-3m, No. 225. The value obtained for the formation energy is -0.254 eV/atom. The magnetization comes out at 0.0 μB per formula unit. The value obtained for the calculated volume is 254.1 Å³/cell.

---

3.
Below is a relaxed structure of ThCuPdAu, with properties calculated at the PBE-GGA level.

abc: 4.8285 4.8285 4.8285
angles: 60.00 60.00 60.00
Fractional coordinates of all 4 atoms:
1 Cu 0.5000 0.5000 0.5000
2 Au 0.2500 0.2500 0.2500
3 Pd 0.0000 0.0000 0.0000
4 Th 0.7500 0.7500 0.7500

The symmetry is F-43m, No. 216. The value obtained for the formation energy is -0.447 eV/atom. The magnetization comes out at 0.0 μB per formula unit. The value obtained for the calculated volume is 79.6 Å³/cell.